Computed, not measured: HfSc2Ir after structural relaxation at the PBE-GGA level of DFT.

Geometry as extended XYZ:
```
8
Lattice="1.717 -5.544 0.000 1.717 5.544 0.000 0.000 0.000 8.797" Properties=species:S:1:pos:R:3 pbc="T T T"
Hf 1.717 4.859 6.598
Hf 1.717 -4.859 2.199
Sc 1.717 1.493 4.942
Sc 1.717 1.493 8.253
Sc 1.717 -1.493 0.544
Sc 1.717 -1.493 3.855
Ir 1.717 2.742 2.199
Ir 1.717 -2.742 6.598
```

**Formation enthalpy at 0 K**: -0.5375 eV per atom
**SG**: Cmcm (63)